VPd2O: relaxed, GGA+U.

CIF file:
```
data_VPd2O
_chemical_formula_sum 'V4 Pd8 O4'
_cell_length_a 8.260
_cell_length_b 8.260
_cell_length_c 3.753
_cell_angle_alpha 90.00
_cell_angle_beta 90.00
_cell_angle_gamma 90.00
_space_group_name_H-M_alt 'I -4 2 d'
_space_group_IT_number 122
_space_group_name_Hall 'I -4 2bw'
loop_
_atom_site_label
_atom_site_fract_x
_atom_site_fract_y
_atom_site_fract_z
_atom_site_occupancy
V1 0.000 0.000 0.000 1
Pd1 0.133 0.250 0.625 1
O1 0.000 0.000 0.500 1
```

Calculated values
* M_tot: 8.190 Bohr magnetons per cell
* ρ: 7.26 g/cm³
* energy: -23.0 eV per formula unit
* crystal system: tetragonal
* N(E_F): 0.745 states/eV/atom